#a
Here is a geometry-optimized MgRe2IrPb structure from Alexandria via LeMat-Bulk. Energies are from PBE.

a b c (Å): 4.8302 5.1596 4.8302
angles (deg): 90.00 90.00 90.00
With the nearest neighbours (Å) after each atom.
Atoms (fractional coordinates):
Pb: 0.0000 0.5000 0.0000  2 Ir 2.58
Re: 0.0000 0.0000 0.5000  2 Ir 2.42
Re: 0.5000 0.0000 0.0000  2 Ir 2.42
Mg: 0.5000 0.5000 0.5000  4 Pb 3.42, 8 Re 3.53
Ir: 0.0000 0.0000 0.0000  4 Re 2.42, 2 Pb 2.58

Output
* spin magnetization: 0.03 μB per formula unit

#b
Here is a geometry-optimized MgRe2IrPb structure from Alexandria via LeMat-Bulk. Energies are from PBE.

a b c (Å): 5.0395 4.9662 5.0395
angles (deg): 90.00 90.00 90.00
With the nearest neighbours (Å) after each atom.
Atoms (fractional coordinates):
Pb: 0.0000 0.0000 0.0000  2 Ir 2.48, 4 Re 2.52
Re: 0.0000 0.0000 0.5000  2 Pb 2.52
Re: 0.5000 0.0000 0.0000  2 Pb 2.52
Mg: 0.5000 0.5000 0.5000  8 Re 3.54, 4 Ir 3.56
Ir: 0.0000 0.5000 0.0000  2 Pb 2.48

Output
* spin magnetization: 4.30 μB per formula unit

Ranked by calculated energy, most stable first: #a, #b.

#a
Here is a geometry-optimized Mg6Ir2Pd structure from Alexandria via LeMat-Bulk. Energies are from PBE.

a b c (Å): 4.4252 6.2619 7.6323
angles (deg): 114.22 106.69 90.00
With the nearest neighbours (Å) after each atom.
Atoms (fractional coordinates):
Mg: 0.1695 0.4250 0.3393  3 Ir 2.69, 1 Pd 2.75
Mg: 0.8305 0.0857 0.6607  3 Ir 2.69, 1 Pd 2.75
Mg: 0.8305 0.5750 0.6607  3 Ir 2.69, 1 Pd 2.75
Mg: 0.5000 0.2583 0.0000  2 Ir 2.67, 2 Pd 2.74
Mg: 0.1695 0.9143 0.3393  3 Ir 2.69, 1 Pd 2.75
Mg: 0.5000 0.7417 0.0000  2 Ir 2.67, 2 Pd 2.74
Ir: 0.6667 0.6667 0.3334  8 Mg 2.67-2.69
Ir: 0.3333 0.3333 0.6666  8 Mg 2.67-2.69
Pd: 0.0000 0.0000 0.0000  8 Mg 2.74-2.75

Output
* spin magnetization: 0.00 μB per formula unit

#b
Here is a geometry-optimized Mg6Ir2Pd structure from Alexandria via LeMat-Bulk. Energies are from PBE.

a b c (Å): 4.5534 4.5529 8.5228
angles (deg): 90.00 90.00 120.00
With the nearest neighbours (Å) after each atom.
Atoms (fractional coordinates):
Mg: 0.6667 0.3334 0.9323  1 Ir 2.74, 7 Mg 2.86-2.89
Mg: 0.3333 0.6666 0.0677  1 Ir 2.74, 7 Mg 2.86-2.89
Mg: 0.0000 0.9999 0.1996  1 Pd 2.56, 3 Ir 2.67, 3 Mg 2.86
Mg: 0.3333 0.6666 0.4072  3 Pd 2.74-2.75, 4 Ir 2.89-2.94, 4 Mg 2.89-3.07
Mg: 0.0000 0.0001 0.8004  1 Pd 2.56, 3 Ir 2.67, 3 Mg 2.86
Mg: 0.6667 0.3334 0.5928  3 Pd 2.74-2.75, 4 Ir 2.89-2.94, 4 Mg 2.89-3.07
Ir: 0.3334 0.6668 0.7462  8 Mg 2.67-2.94
Ir: 0.6666 0.3332 0.2538  8 Mg 2.67-2.94
Pd: 0.0000 0.0000 0.5000  8 Mg 2.56-2.75

Output
* spin magnetization: 0.00 μB per formula unit

Ranked by calculated energy, most stable first: #b, #a.

#a
Here is a geometry-optimized Mg4IrPd structure from Alexandria via LeMat-Bulk. Energies are from PBE.

a b c (Å): 4.4448 4.4416 7.6462
angles (deg): 73.21 73.10 59.98
With the nearest neighbours (Å) after each atom.
Atoms (fractional coordinates):
Mg: 0.6288 0.6292 0.1132  3 Ir 2.69, 1 Pd 2.79
Mg: 0.3712 0.3708 0.8868  3 Ir 2.69, 1 Pd 2.79
Mg: 0.1217 0.1225 0.6341  1 Ir 2.64, 3 Pd 2.74
Mg: 0.8783 0.8775 0.3659  1 Ir 2.64, 3 Pd 2.74
Ir: 0.0000 0.0000 0.0000  8 Mg 2.64-2.69
Pd: 0.5000 0.5000 0.5000  8 Mg 2.74-2.79

Output
* spin magnetization: 0.00 μB per formula unit

#b
Here is a geometry-optimized Mg4IrPd structure from Alexandria via LeMat-Bulk. Energies are from PBE.

a b c (Å): 3.0591 7.4514 4.7999
angles (deg): 90.00 90.00 90.00
With the nearest neighbours (Å) after each atom.
Atoms (fractional coordinates):
Mg: 0.5000 0.7005 0.0000  2 Ir 2.71, 2 Pd 2.83, 5 Mg 2.96-2.99
Mg: 0.5000 0.2995 0.0000  2 Ir 2.71, 2 Pd 2.83, 5 Mg 2.96-2.99
Mg: 0.0000 0.1886 0.5000  2 Pd 2.78, 2 Ir 2.78, 7 Mg 2.81-3.06
Mg: 0.0000 0.8114 0.5000  2 Pd 2.78, 2 Ir 2.78, 7 Mg 2.81-3.06
Ir: 0.0000 0.0000 0.0000  8 Mg 2.71-2.78
Pd: 0.5000 0.5000 0.5000  8 Mg 2.78-2.83, 2 Pd 3.06

Output
* spin magnetization: 0.00 μB per formula unit

Ranked by calculated energy, most stable first: #a, #b.

#a
Here is a geometry-optimized Mg6IrPd2 structure from Alexandria via LeMat-Bulk. Energies are from PBE.

a b c (Å): 4.4244 6.3034 7.6890
angles (deg): 114.20 106.55 90.00
With the nearest neighbours (Å) after each atom.
Atoms (fractional coordinates):
Mg: 0.1636 0.4088 0.3269  1 Ir 2.67, 3 Pd 2.73-2.74
Mg: 0.8364 0.0819 0.6731  1 Ir 2.67, 3 Pd 2.73-2.74
Mg: 0.8364 0.5912 0.6731  1 Ir 2.67, 3 Pd 2.73-2.74
Mg: 0.5000 0.2418 0.0000  2 Ir 2.69, 2 Pd 2.76
Mg: 0.1636 0.9181 0.3269  1 Ir 2.67, 3 Pd 2.73-2.74
Mg: 0.5000 0.7582 0.0000  2 Ir 2.69, 2 Pd 2.76
Ir: 0.0000 0.0000 0.0000  8 Mg 2.67-2.69
Pd: 0.6670 0.6670 0.3340  8 Mg 2.73-2.76
Pd: 0.3330 0.3330 0.6660  8 Mg 2.73-2.76

Output
* spin magnetization: 0.00 μB per formula unit

#b
Here is a geometry-optimized Mg6IrPd2 structure from Alexandria via LeMat-Bulk. Energies are from PBE.

a b c (Å): 4.5910 4.5902 8.6888
angles (deg): 90.01 90.00 120.01
With the nearest neighbours (Å) after each atom.
Atoms (fractional coordinates):
Mg: 0.6667 0.3333 0.9359  1 Pd 2.78, 7 Mg 2.87-3.06
Mg: 0.3333 0.6667 0.0641  1 Pd 2.78, 7 Mg 2.87-3.06
Mg: 0.0000 0.0000 0.2032  1 Ir 2.58, 3 Pd 2.69
Mg: 0.3333 0.6667 0.4164  3 Ir 2.75, 4 Pd 2.85-2.99, 4 Mg 3.02-3.06
Mg: 0.0000 0.0000 0.7968  1 Ir 2.58, 3 Pd 2.69
Mg: 0.6667 0.3333 0.5836  3 Ir 2.75, 4 Pd 2.85-2.99, 4 Mg 3.02-3.06
Ir: 0.0000 0.0000 0.5000  8 Mg 2.58-2.75
Pd: 0.3334 0.6667 0.7440  8 Mg 2.69-2.99
Pd: 0.6666 0.3333 0.2560  8 Mg 2.69-2.99

Output
* spin magnetization: 0.00 μB per formula unit

Ranked by calculated energy, most stable first: #b, #a.